1.
DFT (PBE) results for MnV4Ru3 after structural relaxation.

Values from the calculation:
- formation energy from the elements (eV per atom) = -0.25
- V (Å³/atom) = 13.19
- magnetization (μB per atom) = 0.001
- energy (eV/atom) = -9.44

The structure in CIF format:
```
data_MnV4Ru3
_chemical_formula_sum 'Mn1 V4 Ru3'
_space_group_name_H-M_alt 'P 4/m m m'
_space_group_IT_number 123
_space_group_name_Hall '-P 4 2'
_cell_length_a 2.957
_cell_length_b 2.957
_cell_length_c 12.073
_cell_angle_alpha 90.00
_cell_angle_beta 90.00
_cell_angle_gamma 90.00
loop_
_atom_site_label
_atom_site_fract_x
_atom_site_fract_y
_atom_site_fract_z
Mn1 0.000 0.000 0.000
V1 0.500 0.500 0.113
V2 0.500 0.500 0.372
Ru1 0.000 0.000 0.244
Ru2 0.000 0.000 0.500
```

***

2.
DFT (PBE) results for GdTiCuRu after structural relaxation.

Values from the calculation:
- formation energy from the elements (eV per atom) = -0.16
- V (Å³/atom) = 17.68
- magnetization (μB per atom) = 1.827
- energy (eV/atom) = -8.99

The structure in CIF format:
```
data_GdTiCuRu
_chemical_formula_sum 'Gd4 Ti4 Cu4 Ru4'
_space_group_name_H-M_alt 'F -4 3 m'
_space_group_IT_number 216
_space_group_name_Hall 'F -4 2 3'
_cell_length_a 6.565
_cell_length_b 6.565
_cell_length_c 6.565
_cell_angle_alpha 90.00
_cell_angle_beta 90.00
_cell_angle_gamma 90.00
loop_
_atom_site_label
_atom_site_fract_x
_atom_site_fract_y
_atom_site_fract_z
Gd1 0.000 0.000 0.000
Ti1 0.000 0.000 0.500
Cu1 0.250 0.250 0.250
Ru1 0.250 0.250 0.750
```

***

3.
DFT (PBE) results for AlIr2Pb after structural relaxation.

Values from the calculation:
- formation energy from the elements (eV per atom) = -0.17
- V (Å³/atom) = 17.13
- magnetization (μB per atom) = 0.000
- energy (eV/atom) = -6.46

The structure in CIF format:
```
data_AlIr2Pb
_chemical_formula_sum 'Al1 Ir2 Pb1'
_space_group_name_H-M_alt 'P 1 2/m 1'
_space_group_IT_number 10
_space_group_name_Hall '-P 2y'
_cell_length_a 3.053
_cell_length_b 3.040
_cell_length_c 7.490
_cell_angle_alpha 90.00
_cell_angle_beta 99.74
_cell_angle_gamma 90.00
loop_
_atom_site_label
_atom_site_fract_x
_atom_site_fract_y
_atom_site_fract_z
Al1 0.000 0.000 0.000
Ir1 0.405 0.500 0.801
Pb1 0.000 0.000 0.500
```

***

| no. | DOS(E_F) (states/eV per cell) |
| --- | --- |
| 1 | 9.3 |
| 2 | 17.7 |
| 3 | 1.5 |